# Fe3MoF9

Crystalline Fe3MoF9 at its relaxed geometry (PBE with a Hubbard U, Alexandria).

energy	-5.04	eV/atom
calculated volume	15.30	A^3/atom
symmetry	Cc, No. 9
spin magnetization	6.000	μB/cell

Cell: 6.4654 6.4654 10.8248 Å, 108.68 108.68 73.53°
Fractional coordinates of all 26 atoms:
1 Fe 0.0620 0.6263 0.9329
2 Fe 0.1381 0.8619 0.5000
3 Fe 0.4295 0.9223 0.8859
4 Fe 0.6263 0.0620 0.4329
5 Fe 0.8619 0.1381 0.0000
6 Fe 0.9223 0.4295 0.3859
7 Mo 0.3118 0.4058 0.1875
8 Mo 0.4058 0.3118 0.6875
9 F 0.0152 0.3871 0.0146
10 F 0.1199 0.6198 0.3225
11 F 0.1253 0.9159 0.9230
12 F 0.1296 0.3933 0.7724
13 F 0.2025 0.4751 0.5385
14 F 0.2482 0.9290 0.6967
15 F 0.2855 0.6706 0.1112
16 F 0.3871 0.0152 0.5146
17 F 0.3933 0.1296 0.2724
18 F 0.4751 0.2025 0.0385
19 F 0.4801 0.5887 0.8396
20 F 0.5887 0.4801 0.3396
21 F 0.6198 0.1199 0.8225
22 F 0.6706 0.2855 0.6112
23 F 0.7788 0.8410 0.9753
24 F 0.8410 0.7788 0.4753
25 F 0.9159 0.1253 0.4230
26 F 0.9290 0.2482 0.1967